DFT (PBE) results for a geometry-optimized TmSe2O5 structure.

For the calculated total energy, the calculation gives -5.982 eV/atom. As for the space group: C2/c, No. 15. As for the magnetization: 0.00 Bohr magnetons per cell.

a = 6.7104 Å, b = 6.7104 Å, c = 7.8904 Å
α = 110.45°, β = 110.45°, γ = 42.89°
Fractional positions:
Tm1 0.0000 0.0000 0.0000
Tm2 0.0000 0.0000 0.5000
Se1 0.3215 0.3500 0.6507
Se2 0.3500 0.3215 0.1507
Se3 0.6500 0.6785 0.8493
Se4 0.6785 0.6500 0.3493
O1 0.1249 0.6004 0.5060
O2 0.1325 0.5946 0.8311
O3 0.2536 0.7464 0.2500
O4 0.3996 0.8751 0.9940
O5 0.4054 0.8675 0.6689
O6 0.5946 0.1325 0.3311
O7 0.6004 0.1249 0.0060
O8 0.7464 0.2536 0.7500
O9 0.8675 0.4054 0.1689
O10 0.8751 0.3996 0.4940